Run one
Below is a relaxed LaCoPS2 crystal, with properties calculated at the GGA-PBE level.

Cell lengths 5.4431, 5.4431, 5.5513 Å; angles 90.00, 90.00, 90.00 degrees
Last column: nearest neighbours and their distance in Å.
Fractional positions:
P (0.0000, 0.0000, 0.5000)  2 La 2.78
S (0.0000, 0.5000, 0.0000)  2 La 2.72
S (0.5000, 0.0000, 0.0000)  2 La 2.72
Co (0.5000, 0.5000, 0.5000)  4 P 3.85, 8 S 3.89
La (0.0000, 0.0000, 0.0000)  4 S 2.72, 2 P 2.78

Values from the calculation:
N(E_F): 1.475 states/eV/atom
Volume: 164 Å³/cell


Run two
Below is a relaxed LaCoPS2 crystal, with properties calculated at the GGA-PBE level.

Cell lengths 4.7419, 4.7419, 4.1703 Å; angles 90.00, 90.00, 90.00 degrees
Last column: nearest neighbours and their distance in Å.
Fractional positions:
P (0.0000, 0.0000, 0.5000)  2 Co 2.09
S (0.0000, 0.5000, 0.0000)  2 Co 2.37
S (0.5000, 0.0000, 0.0000)  2 Co 2.37
Co (0.0000, 0.0000, 0.0000)  2 P 2.09
La (0.5000, 0.5000, 0.5000)  8 S 3.16, 4 P 3.35

Values from the calculation:
N(E_F): 0.672 states/eV/atom
Volume: 94 Å³/cell


Stability ranking, top and bottom: run two is the most stable and run one is the least stable.


Run one
Below is a relaxed La2CoSnPb crystal, with properties calculated at the GGA-PBE level.

Cell lengths 5.3118, 5.3118, 4.9290 Å; angles 90.00, 90.00, 90.00 degrees
Last column: nearest neighbours and their distance in Å.
Fractional positions:
Pb (0.5000, 0.5000, 0.5000)  8 La 3.62, 4 Sn 3.76
Co (0.0000, 0.0000, 0.0000)  2 Sn 2.46, 4 La 2.66
Sn (0.0000, 0.0000, 0.5000)  2 Co 2.46
La (0.0000, 0.5000, 0.0000)  2 Co 2.66
La (0.5000, 0.0000, 0.0000)  2 Co 2.66

Values from the calculation:
N(E_F): 0.509 states/eV/atom
Volume: 139 Å³/cell


Run two
Below is a relaxed La2CoSnPb crystal, with properties calculated at the GGA-PBE level.

Cell lengths 5.2899, 5.2899, 5.0067 Å; angles 90.00, 90.00, 90.00 degrees
Last column: nearest neighbours and their distance in Å.
Fractional positions:
Pb (0.0000, 0.0000, 0.5000)  2 Co 2.50
Co (0.0000, 0.0000, 0.0000)  2 Pb 2.50, 4 La 2.64
Sn (0.5000, 0.5000, 0.5000)  8 La 3.64, 4 Pb 3.74
La (0.0000, 0.5000, 0.0000)  2 Co 2.64
La (0.5000, 0.0000, 0.0000)  2 Co 2.64

Values from the calculation:
N(E_F): 0.512 states/eV/atom
Volume: 140 Å³/cell


Stability ranking, top and bottom: run one is the most stable and run two is the least stable.


Run one
Below is a relaxed LaTlCoPb2 crystal, with properties calculated at the GGA-PBE level.

Cell lengths 5.7511, 4.8770, 5.7511 Å; angles 90.00, 90.00, 90.00 degrees
Last column: nearest neighbours and their distance in Å.
Fractional positions:
Pb (0.0000, 0.0000, 0.5000)  2 Tl 2.88
Pb (0.5000, 0.0000, 0.0000)  2 Tl 2.88
Tl (0.0000, 0.0000, 0.0000)  2 Co 2.44
Co (0.0000, 0.5000, 0.0000)  2 Tl 2.44
La (0.5000, 0.5000, 0.5000)  8 Pb 3.77, 4 Co 4.07

Values from the calculation:
N(E_F): 0.959 states/eV/atom
Volume: 161 Å³/cell


Run two
Below is a relaxed LaTlCoPb2 crystal, with properties calculated at the GGA-PBE level.

Cell lengths 5.1677, 5.1677, 5.0911 Å; angles 90.00, 90.00, 90.00 degrees
Last column: nearest neighbours and their distance in Å.
Fractional positions:
Pb (0.0000, 0.5000, 0.0000)  2 Co 2.58
Pb (0.5000, 0.0000, 0.0000)  2 Co 2.58
Tl (0.5000, 0.5000, 0.5000)  8 Pb 3.63, 4 La 3.65
Co (0.0000, 0.0000, 0.0000)  2 La 2.55, 4 Pb 2.58
La (0.0000, 0.0000, 0.5000)  2 Co 2.55

Values from the calculation:
N(E_F): 0.704 states/eV/atom
Volume: 136 Å³/cell


Stability ranking, top and bottom: run two is the most stable and run one is the least stable.


Run one
Below is a relaxed LaCo2Pd2 crystal, with properties calculated at the GGA-PBE level.

Cell lengths 7.4090, 7.4090, 3.0558 Å; angles 90.00, 90.00, 90.00 degrees
Last column: nearest neighbours and their distance in Å.
Fractional positions:
Co (0.3883, 0.8883, 0.0000)  1 Co 2.34
Co (0.8883, 0.6117, 0.0000)  1 Co 2.34
Co (0.6117, 0.1117, 0.0000)  1 Co 2.34
Co (0.1117, 0.3883, 0.0000)  1 Co 2.34
Pd (0.1796, 0.6796, 0.5000)  6 Co 2.67-2.69
Pd (0.6796, 0.8204, 0.5000)  6 Co 2.67-2.69
Pd (0.8204, 0.3204, 0.5000)  6 Co 2.67-2.69
Pd (0.3204, 0.1796, 0.5000)  6 Co 2.67-2.69
La (0.0000, 0.0000, 0.0000)  4 Co 2.99, 2 La 3.06, 8 Pd 3.12
La (0.5000, 0.5000, 0.0000)  4 Co 2.99, 2 La 3.06, 8 Pd 3.12

Values from the calculation:
N(E_F): 1.208 states/eV/atom
Volume: 168 Å³/cell


Run two
Below is a relaxed LaCo2Pd2 crystal, with properties calculated at the GGA-PBE level.

Cell lengths 4.1138, 4.1138, 5.9940 Å; angles 69.93, 69.93, 90.00 degrees
Last column: nearest neighbours and their distance in Å.
Fractional positions:
Co (0.3971, 0.3971, 0.2059)  1 Co 2.16
Co (0.6029, 0.6029, 0.7941)  1 Co 2.16
Pd (0.7500, 0.2500, 0.5000)  4 Co 2.57
Pd (0.2500, 0.7500, 0.5000)  4 Co 2.57
La (0.0000, 0.0000, 0.0000)  8 Co 3.10, 8 Pd 3.33

Values from the calculation:
N(E_F): 0.826 states/eV/atom
Volume: 89 Å³/cell


Stability ranking, top and bottom: run two is the most stable and run one is the least stable.


Run one
Below is a relaxed La2Co2Pd crystal, with properties calculated at the GGA-PBE level.

Cell lengths 3.4867, 3.4867, 9.0365 Å; angles 78.88, 78.88, 90.00 degrees
Last column: nearest neighbours and their distance in Å.
Fractional positions:
Co (0.7500, 0.2500, 0.5000)  4 Co 2.47
Co (0.2500, 0.7500, 0.5000)  4 Co 2.47
Pd (0.0000, 0.0000, 0.0000)  8 La 3.14, 4 Pd 3.49
La (0.3880, 0.3880, 0.2240)  4 Co 2.97, 4 Pd 3.14
La (0.6120, 0.6120, 0.7760)  4 Co 2.97, 4 Pd 3.14

Values from the calculation:
N(E_F): 1.260 states/eV/atom
Volume: 106 Å³/cell


Run two
Below is a relaxed La2Co2Pd crystal, with properties calculated at the GGA-PBE level.

Cell lengths 7.1801, 7.1801, 3.9464 Å; angles 90.00, 90.00, 90.00 degrees
Last column: nearest neighbours and their distance in Å.
Fractional positions:
Co (0.3875, 0.8875, 0.0000)  1 Co 2.28
Co (0.8875, 0.6125, 0.0000)  1 Co 2.28
Co (0.6125, 0.1125, 0.0000)  1 Co 2.28
Co (0.1125, 0.3875, 0.0000)  1 Co 2.28
Pd (0.0000, 0.0000, 0.0000)  4 Co 2.90
Pd (0.5000, 0.5000, 0.0000)  4 Co 2.90
La (0.1881, 0.6881, 0.5000)  6 Co 2.83-2.97
La (0.6881, 0.8119, 0.5000)  6 Co 2.83-2.97
La (0.8119, 0.3119, 0.5000)  6 Co 2.83-2.97
La (0.3119, 0.1881, 0.5000)  6 Co 2.83-2.97

Values from the calculation:
N(E_F): 1.281 states/eV/atom
Volume: 203 Å³/cell


Stability ranking, top and bottom: run two is the most stable and run one is the least stable.


Run one
Below is a relaxed La3PmCo crystal, with properties calculated at the GGA-PBE level.

Cell lengths 7.4433, 7.4433, 7.5165 Å; angles 109.70, 109.57, 108.75 degrees
Last column: nearest neighbours and their distance in Å.
Fractional positions:
La (0.8305, 0.0387, 0.2895)  1 Co 2.59
La (0.2508, 0.4590, 0.2895)  1 Co 2.59
La (0.7492, 0.5410, 0.7105)  1 Co 2.59
La (0.7102, 0.4595, 0.1697)  1 Co 2.59
La (0.1695, 0.9613, 0.7105)  1 Co 2.59
La (0.2898, 0.5405, 0.8303)  1 Co 2.59
Pm (0.7048, 0.0435, 0.7483)  1 Co 2.70
Pm (0.2952, 0.9565, 0.2517)  1 Co 2.70
Co (0.6129, 0.7452, 0.3581)  3 La 2.59, 1 Pm 2.70
Co (0.3871, 0.2548, 0.6419)  3 La 2.59, 1 Pm 2.70

Values from the calculation:
N(E_F): 1.181 states/eV/atom
Volume: 322 Å³/cell


Run two
Below is a relaxed La3PmCo crystal, with properties calculated at the GGA-PBE level.

Cell lengths 5.4972, 5.4972, 5.4972 Å; angles 90.00, 90.00, 90.00 degrees
Last column: nearest neighbours and their distance in Å.
Fractional positions:
La (0.0000, 0.5000, 0.0000)  2 Co 2.75
La (0.0000, 0.0000, 0.5000)  2 Co 2.75
La (0.5000, 0.0000, 0.0000)  2 Co 2.75
Co (0.0000, 0.0000, 0.0000)  6 La 2.75
Pm (0.5000, 0.5000, 0.5000)  12 La 3.89

Values from the calculation:
N(E_F): 1.986 states/eV/atom
Volume: 166 Å³/cell


Stability ranking, top and bottom: run one is the most stable and run two is the least stable.


Run one
Below is a relaxed LaPm3Co crystal, with properties calculated at the GGA-PBE level.

Cell lengths 7.4223, 7.4223, 7.3489 Å; angles 109.14, 109.85, 109.82 degrees
Last column: nearest neighbours and their distance in Å.
Fractional positions:
La (0.7113, 0.0401, 0.7514)  1 Co 2.50
La (0.2887, 0.9599, 0.2486)  1 Co 2.50
Pm (0.8380, 0.0458, 0.2935)  1 Co 2.65
Pm (0.2477, 0.4555, 0.2935)  1 Co 2.65
Pm (0.7523, 0.5445, 0.7065)  1 Co 2.65
Pm (0.7050, 0.4559, 0.1609)  1 Co 2.64
Pm (0.1620, 0.9542, 0.7065)  1 Co 2.65
Pm (0.2950, 0.5441, 0.8391)  1 Co 2.64
Co (0.6392, 0.7559, 0.3951)  1 La 2.50, 3 Pm 2.64-2.65
Co (0.3608, 0.2441, 0.6049)  1 La 2.50, 3 Pm 2.64-2.65

Values from the calculation:
N(E_F): 1.042 states/eV/atom
Volume: 310 Å³/cell


Run two
Below is a relaxed LaPm3Co crystal, with properties calculated at the GGA-PBE level.

Cell lengths 5.4565, 5.4565, 5.4565 Å; angles 90.00, 90.00, 90.00 degrees
Last column: nearest neighbours and their distance in Å.
Fractional positions:
La (0.5000, 0.5000, 0.5000)  12 Pm 3.86
Co (0.0000, 0.0000, 0.0000)  6 Pm 2.73
Pm (0.0000, 0.5000, 0.0000)  2 Co 2.73
Pm (0.0000, 0.0000, 0.5000)  2 Co 2.73
Pm (0.5000, 0.0000, 0.0000)  2 Co 2.73

Values from the calculation:
N(E_F): 1.691 states/eV/atom
Volume: 162 Å³/cell


Stability ranking, top and bottom: run one is the most stable and run two is the least stable.